# KNiO2

Crystalline KNiO2 at its relaxed geometry (PBE with a Hubbard U, Alexandria).

Properties
Crystal system = triclinic
Space group = P1
Energy = -34.46 eV per cell

a b c (Å): 6.4613 6.5248 3.5524
angles (deg): 89.99 74.00 121.33
Fractional coordinates of all 8 atoms:
Ni 0.0644 0.0168 0.3253
Ni 0.7141 0.0814 0.0006
O 0.3849 0.0602 0.1658
O 0.8870 0.8153 0.9142
O 0.6092 0.7354 0.0537
O 0.8894 0.2007 0.4127
K 0.2429 0.6774 0.7375
K 0.6077 0.4235 0.5541